1.
# HfTa2CrCo | the Alexandria database | PBE | optimized geometry
# Total DFT energy (no corrections), Ry/atom: -0.579
# Total magnetic moment, μB/f.u.: 4.1
# ΔH_f (0 K), eV/atom: 2.197
data_HfTa2CrCo
_chemical_formula_sum 'Hf1 Ta2 Cr1 Co1'
_cell_length_a 4.9423
_cell_length_b 4.9423
_cell_length_c 4.4271
_cell_angle_alpha 90.00
_cell_angle_beta 90.00
_cell_angle_gamma 90.00
_space_group_name_H-M_alt 'P 4/m m m'
_space_group_IT_number 123
_space_group_name_Hall '-P 4 2'
loop_
_atom_site_label
_atom_site_type_symbol
_atom_site_fract_x
_atom_site_fract_y
_atom_site_fract_z
Hf1 Hf 0.0000 0.0000 0.0000
Ta1 Ta 0.0000 0.5000 0.0000
Cr1 Cr 0.0000 0.0000 0.5000
Co1 Co 0.5000 0.5000 0.5000



2.
# HfCrCoTe2 | the Alexandria database | PBE | optimized geometry
# Total DFT energy (no corrections), Ry/atom: -0.416
# Formation energy (no corrections), eV/atom: 0.94
# Total magnetic moment, μB/f.u.: 0.9
data_HfCrCoTe2
_chemical_formula_sum 'Hf1 Cr1 Co1 Te2'
_cell_length_a 4.9895
_cell_length_b 4.9895
_cell_length_c 4.7261
_cell_angle_alpha 90.00
_cell_angle_beta 90.00
_cell_angle_gamma 90.00
_space_group_name_H-M_alt 'P 4/m m m'
_space_group_IT_number 123
_space_group_name_Hall '-P 4 2'
loop_
_atom_site_label
_atom_site_type_symbol
_atom_site_fract_x
_atom_site_fract_y
_atom_site_fract_z
Hf1 Hf 0.0000 0.0000 0.0000
Cr1 Cr 0.0000 0.0000 0.5000
Co1 Co 0.5000 0.5000 0.0000
Te1 Te 0.0000 0.5000 0.5000



3.
# HfVCr2Co | the Alexandria database | PBE | optimized geometry
# Total DFT energy (no corrections), Ry/atom: -0.592
# Total magnetic moment, μB/f.u.: 3.9
# ΔH_f (0 K), eV/atom: 1.032
data_HfVCr2Co
_chemical_formula_sum 'Hf1 V1 Cr2 Co1'
_cell_length_a 4.2489
_cell_length_b 4.2489
_cell_length_c 4.6683
_cell_angle_alpha 90.00
_cell_angle_beta 90.00
_cell_angle_gamma 90.00
_space_group_name_H-M_alt 'P 4/m m m'
_space_group_IT_number 123
_space_group_name_Hall '-P 4 2'
loop_
_atom_site_label
_atom_site_type_symbol
_atom_site_fract_x
_atom_site_fract_y
_atom_site_fract_z
Hf1 Hf 0.0000 0.0000 0.0000
V1 V 0.5000 0.5000 0.0000
Cr1 Cr 0.0000 0.5000 0.5000
Co1 Co 0.0000 0.0000 0.5000